Material: BaLi2CdN
Method: DFT, GGA-PBE
State: relaxed

The structure in POSCAR format:
```
BaLi2CdN
1.0
4.637 0.000 0.000
0.000 5.026 0.000
0.000 0.000 4.637
N Li Ba Cd
1 2 1 1
direct
0.000 0.000 0.000
0.000 0.000 0.500
0.500 0.000 0.000
0.500 0.500 0.500
0.000 0.500 0.000
```

Properties
energy	-2.769	eV per atom
formation energy without anion corrections	0.229	eV per atom